Entry 1:
## PrNdMnAg (GGA-PBE)

Data for crystalline PrNdMnAg at its relaxed geometry.

```
data_PrNdMnAg
_chemical_formula_sum 'Pr4 Nd4 Mn4 Ag4'
_cell_length_a 7.464
_cell_length_b 7.464
_cell_length_c 7.464
_cell_angle_alpha 90.00
_cell_angle_beta 90.00
_cell_angle_gamma 90.00
_symmetry_space_group_name_H-M 'F -4 3 m'
_symmetry_Int_Tables_number 216
_symmetry_space_group_name_Hall 'F -4 2 3'
loop_
_atom_site_label
_atom_site_type_symbol
_atom_site_fract_x
_atom_site_fract_y
_atom_site_fract_z
Pr1 Pr 0.000 0.000 0.000
Nd1 Nd 0.000 0.000 0.500
Mn1 Mn 0.250 0.250 0.250
Ag1 Ag 0.250 0.250 0.750
```

Properties
The calculation puts the mass density at 7155 kg/m³. For the total energy, the calculation gives -0.196 hartree per atom. The value obtained for the density of states at the Fermi level is 14.88 states/eV/cell.

Entry 2:
## Nd2MnAgSe5 (GGA-PBE)

Data for crystalline Nd2MnAgSe5 at its relaxed geometry.

```
data_Nd2MnAgSe5
_chemical_formula_sum 'Nd8 Mn4 Ag4 Se20'
_cell_length_a 4.113
_cell_length_b 17.152
_cell_length_c 12.295
_cell_angle_alpha 90.00
_cell_angle_beta 90.00
_cell_angle_gamma 90.00
_symmetry_space_group_name_H-M 'C m c 21'
_symmetry_Int_Tables_number 36
_symmetry_space_group_name_Hall 'C 2c -2'
loop_
_atom_site_label
_atom_site_type_symbol
_atom_site_fract_x
_atom_site_fract_y
_atom_site_fract_z
Nd1 Nd 0.000 0.122 0.000
Nd2 Nd 0.000 0.126 0.344
Mn1 Mn 0.000 0.427 0.100
Ag1 Ag 0.000 0.172 0.708
Se1 Se 0.000 0.012 0.677
Se2 Se 0.000 0.307 0.348
Se3 Se 0.000 0.307 0.999
Se4 Se 0.000 0.335 0.671
Se5 Se 0.000 0.498 0.926
```

Properties
The calculation puts the mass density at 6479 kg/m³. For the total energy, the calculation gives -0.201 hartree per atom. The calculation puts the energy relative to the elements, uncorrected at -1.15 eV/atom. The value obtained for the density of states at the Fermi level is 6.74 states/eV/cell.

Entry 3:
## TbNdMnAg (GGA-PBE)

Data for crystalline TbNdMnAg at its relaxed geometry.

```
data_TbNdMnAg
_chemical_formula_sum 'Tb4 Nd4 Mn4 Ag4'
_cell_length_a 7.330
_cell_length_b 7.330
_cell_length_c 7.330
_cell_angle_alpha 90.00
_cell_angle_beta 90.00
_cell_angle_gamma 90.00
_symmetry_space_group_name_H-M 'F -4 3 m'
_symmetry_Int_Tables_number 216
_symmetry_space_group_name_Hall 'F -4 2 3'
loop_
_atom_site_label
_atom_site_type_symbol
_atom_site_fract_x
_atom_site_fract_y
_atom_site_fract_z
Tb1 Tb 0.000 0.000 0.000
Nd1 Nd 0.000 0.000 0.500
Mn1 Mn 0.250 0.250 0.750
Ag1 Ag 0.250 0.250 0.250
```

Properties
The calculation puts the mass density at 7857 kg/m³. For the total energy, the calculation gives -0.196 hartree per atom. The value obtained for the density of states at the Fermi level is 15.35 states/eV/cell.

Entry 4:
## NdTmMnAg (GGA-PBE)

Data for crystalline NdTmMnAg at its relaxed geometry.

```
data_NdTmMnAg
_chemical_formula_sum 'Nd4 Tm4 Mn4 Ag4'
_cell_length_a 7.270
_cell_length_b 7.270
_cell_length_c 7.270
_cell_angle_alpha 90.00
_cell_angle_beta 90.00
_cell_angle_gamma 90.00
_symmetry_space_group_name_H-M 'F -4 3 m'
_symmetry_Int_Tables_number 216
_symmetry_space_group_name_Hall 'F -4 2 3'
loop_
_atom_site_label
_atom_site_type_symbol
_atom_site_fract_x
_atom_site_fract_y
_atom_site_fract_z
Nd1 Nd 0.000 0.000 0.000
Tm1 Tm 0.000 0.000 0.500
Mn1 Mn 0.250 0.250 0.250
Ag1 Ag 0.250 0.250 0.750
```

Properties
The calculation puts the mass density at 8228 kg/m³. For the total energy, the calculation gives -0.195 hartree per atom. The value obtained for the density of states at the Fermi level is 15.07 states/eV/cell.

Entry 5:
## NdYMnAg (GGA-PBE)

Data for crystalline NdYMnAg at its relaxed geometry.

```
data_NdYMnAg
_chemical_formula_sum 'Nd4 Y4 Mn4 Ag4'
_cell_length_a 7.332
_cell_length_b 7.332
_cell_length_c 7.332
_cell_angle_alpha 90.00
_cell_angle_beta 90.00
_cell_angle_gamma 90.00
_symmetry_space_group_name_H-M 'F -4 3 m'
_symmetry_Int_Tables_number 216
_symmetry_space_group_name_Hall 'F -4 2 3'
loop_
_atom_site_label
_atom_site_type_symbol
_atom_site_fract_x
_atom_site_fract_y
_atom_site_fract_z
Nd1 Nd 0.000 0.000 0.000
Y1 Y 0.000 0.000 0.500
Mn1 Mn 0.250 0.250 0.250
Ag1 Ag 0.250 0.250 0.750
```

Properties
The calculation puts the mass density at 6673 kg/m³. For the total energy, the calculation gives -0.213 hartree per atom. The value obtained for the density of states at the Fermi level is 15.98 states/eV/cell.

Entry 6:
## MnNi2Ag (GGA-PBE)

Data for crystalline MnNi2Ag at its relaxed geometry.

```
data_MnNi2Ag
_chemical_formula_sum 'Mn2 Ni4 Ag2'
_cell_length_a 3.724
_cell_length_b 3.724
_cell_length_c 7.661
_cell_angle_alpha 90.00
_cell_angle_beta 90.00
_cell_angle_gamma 90.00
_symmetry_space_group_name_H-M 'I -4 m 2'
_symmetry_Int_Tables_number 119
_symmetry_space_group_name_Hall 'I -4 -2'
loop_
_atom_site_label
_atom_site_type_symbol
_atom_site_fract_x
_atom_site_fract_y
_atom_site_fract_z
Mn1 Mn 0.000 0.000 0.000
Ni1 Ni 0.000 0.000 0.500
Ni2 Ni 0.000 0.500 0.750
Ag1 Ag 0.000 0.500 0.250
```

Properties
The calculation puts the relative energy among the computed polymorphs at 0.063 eV/atom. The calculation puts the mass density at 8757 kg/m³. For the total energy, the calculation gives -0.211 hartree per atom. The value obtained for the density of states at the Fermi level is 11.48 states/eV/cell.

Entry 7:
## MnNi2Ag (GGA-PBE)

Data for crystalline MnNi2Ag at its relaxed geometry.

```
data_MnNi2Ag
_chemical_formula_sum 'Mn2 Ni4 Ag2'
_cell_length_a 3.853
_cell_length_b 3.853
_cell_length_c 7.145
_cell_angle_alpha 90.00
_cell_angle_beta 90.00
_cell_angle_gamma 90.00
_symmetry_space_group_name_H-M 'I 4/m m m'
_symmetry_Int_Tables_number 139
_symmetry_space_group_name_Hall '-I 4 2'
loop_
_atom_site_label
_atom_site_type_symbol
_atom_site_fract_x
_atom_site_fract_y
_atom_site_fract_z
Mn1 Mn 0.000 0.000 0.000
Ni1 Ni 0.000 0.500 0.250
Ag1 Ag 0.000 0.000 0.500
```

Properties
The calculation puts the relative energy among the computed polymorphs at 0.047 eV/atom. The calculation puts the mass density at 8772 kg/m³. For the total energy, the calculation gives -0.211 hartree per atom. The value obtained for the density of states at the Fermi level is 6.45 states/eV/cell.

Entry 8:
## MnNiAg2 (GGA-PBE)

Data for crystalline MnNiAg2 at its relaxed geometry.

```
data_MnNiAg2
_chemical_formula_sum 'Mn4 Ni4 Ag8'
_cell_length_a 6.279
_cell_length_b 6.279
_cell_length_c 6.279
_cell_angle_alpha 90.00
_cell_angle_beta 90.00
_cell_angle_gamma 90.00
_symmetry_space_group_name_H-M 'F m -3 m'
_symmetry_Int_Tables_number 225
_symmetry_space_group_name_Hall '-F 4 2 3'
loop_
_atom_site_label
_atom_site_type_symbol
_atom_site_fract_x
_atom_site_fract_y
_atom_site_fract_z
Mn1 Mn 0.000 0.000 0.000
Ni1 Ni 0.000 0.000 0.500
Ag1 Ag 0.250 0.250 0.250
```

Properties
The calculation puts the relative energy among the computed polymorphs at 0.161 eV/atom. The calculation puts the mass density at 8838 kg/m³. For the total energy, the calculation gives -0.179 hartree per atom. The value obtained for the density of states at the Fermi level is 11.90 states/eV/cell.

Entry 9:
## MnNiAg2 (GGA-PBE)

Data for crystalline MnNiAg2 at its relaxed geometry.

```
data_MnNiAg2
_chemical_formula_sum 'Mn1 Ni1 Ag2'
_cell_length_a 3.287
_cell_length_b 3.287
_cell_length_c 5.734
_cell_angle_alpha 90.00
_cell_angle_beta 90.00
_cell_angle_gamma 90.00
_symmetry_space_group_name_H-M 'P 4/m m m'
_symmetry_Int_Tables_number 123
_symmetry_space_group_name_Hall '-P 4 2'
loop_
_atom_site_label
_atom_site_type_symbol
_atom_site_fract_x
_atom_site_fract_y
_atom_site_fract_z
Mn1 Mn 0.000 0.000 0.000
Ni1 Ni 0.000 0.000 0.500
Ag1 Ag 0.500 0.500 0.257
```

Properties
The calculation puts the relative energy among the computed polymorphs at 0.164 eV/atom. The calculation puts the mass density at 8831 kg/m³. For the total energy, the calculation gives -0.179 hartree per atom. The value obtained for the density of states at the Fermi level is 1.91 states/eV/cell.

Entry 10:
## MnNi2Ag (GGA-PBE)

Data for crystalline MnNi2Ag at its relaxed geometry.

```
data_MnNi2Ag
_chemical_formula_sum 'Mn3 Ni6 Ag3'
_cell_length_a 2.7141
_cell_length_b 2.7141
_cell_length_c 25.3405
_cell_angle_alpha 90.00
_cell_angle_beta 90.00
_cell_angle_gamma 120.00
_symmetry_space_group_name_H-M 'R -3 m'
_symmetry_Int_Tables_number 166
_symmetry_space_group_name_Hall '-R 3 2"'
loop_
_atom_site_label
_atom_site_type_symbol
_atom_site_fract_x
_atom_site_fract_y
_atom_site_fract_z
Mn1 Mn 0.0000 0.0000 0.0000
Ni1 Ni 0.0000 0.0000 0.2569
Ag1 Ag 0.0000 0.0000 0.5000
```

Properties
The calculation puts the relative energy among the computed polymorphs at 0.067 eV/atom. The calculation puts the mass density at 8635 kg/m³. For the total energy, the calculation gives -0.211 hartree per atom. The value obtained for the density of states at the Fermi level is 7.39 states/eV/cell.